The following is a GGA-PBEsol calculation of a geometry-optimized K2NiMo structure, from Alexandria.

Summary:
Its density of states at the Fermi level is 4.92 states/eV/cell. The space-group type is No. 25. The calculated volume comes out at 108.2 Å³ per cell. The value obtained for the electronic total energy is -4.23 eV per atom.

Cell: 2.7965 3.7581 10.2919 Å, 90.00 90.00 90.00°
Closest atoms and distances in Å follow each position.
Element x y z (fractional)
K1 0.0000 0.0000 0.0000  2 K 2.80
K2 0.5000 0.5000 0.4249  2 K 2.80
Ni1 0.5000 0.5000 0.7639  4 Mo 2.48
Mo1 0.0000 0.0000 0.6856  4 Ni 2.48

---

The following is a GGA-PBEsol calculation of a geometry-optimized KNi2Mo structure, from Alexandria.

Summary:
Its density of states at the Fermi level is 5.82 states/eV/cell. The space-group type is No. 6. The calculated volume comes out at 73.1 Å³ per cell. The value obtained for the electronic total energy is -5.53 eV per atom.

Cell: 2.6023 4.0707 6.8980 Å, 90.00 91.18 90.00°
Closest atoms and distances in Å follow each position.
Element x y z (fractional)
K1 0.0000 0.0000 0.0000  2 K 2.60
Ni1 0.4936 0.0000 0.5088  4 Ni 2.41-2.60, 4 Mo 2.53-2.54
Ni2 0.4935 0.5000 0.6963  4 Ni 2.41-2.60, 2 Mo 2.43-2.45
Mo1 0.9831 0.5000 0.3966  6 Ni 2.43-2.54, 2 Mo 2.60

---

The following is a GGA-PBEsol calculation of a geometry-optimized K2NiMo structure, from Alexandria.

Summary:
Its density of states at the Fermi level is 3.86 states/eV/cell. The space-group type is No. 44. The calculated volume comes out at 105.9 Å³ per cell. The value obtained for the electronic total energy is -3.86 eV per atom.

Cell: 7.0333 7.0333 7.0333 Å, 156.80 129.05 56.69°
Closest atoms and distances in Å follow each position.
Element x y z (fractional)
K1 0.0000 0.0000 0.0000  2 K 2.83
K2 0.6973 0.1973 0.5000  2 K 2.83
Ni1 0.4576 0.4576 0.0000  2 Mo 2.32
Mo1 0.3094 0.8094 0.5000  2 Ni 2.32

---

The following is a GGA-PBEsol calculation of a geometry-optimized KNi3Mo structure, from Alexandria.

Summary:
Its density of states at the Fermi level is 5.02 states/eV/cell. The space-group type is No. 221. The calculated volume comes out at 79.5 Å³ per cell. The value obtained for the electronic total energy is -3.87 eV per atom.

Cell: 4.2994 4.2994 4.2994 Å, 90.00 90.00 90.00°
Closest atoms and distances in Å follow each position.
Element x y z (fractional)
K1 0.0000 0.0000 0.0000  6 Ni 2.15
Ni1 0.0000 0.0000 0.5000  2 K 2.15
Ni2 0.0000 0.5000 0.0000  2 K 2.15
Ni3 0.5000 0.0000 0.0000  2 K 2.15
Mo1 0.5000 0.5000 0.5000  12 Ni 3.04

---

The following is a GGA-PBEsol calculation of a geometry-optimized K2NiMo structure, from Alexandria.

Summary:
Its density of states at the Fermi level is 5.49 states/eV/cell. The space-group type is No. 123. The calculated volume comes out at 81.5 Å³ per cell. The value obtained for the electronic total energy is -3.70 eV per atom.

Cell: 2.7050 2.7050 11.1376 Å, 90.00 90.00 90.00°
Closest atoms and distances in Å follow each position.
Element x y z (fractional)
K1 0.0000 0.0000 0.2261  4 K 2.70
K2 0.0000 0.0000 0.7739  4 K 2.70
Ni1 0.5000 0.5000 0.0000  4 Ni 2.70
Mo1 0.5000 0.5000 0.5000  4 Mo 2.70

---

The following is a GGA-PBEsol calculation of a geometry-optimized KNi2Mo structure, from Alexandria.

Summary:
Its density of states at the Fermi level is 3.60 states/eV/cell. The space-group type is No. 65. The calculated volume comes out at 60.6 Å³ per cell. The value obtained for the electronic total energy is -5.39 eV per atom.

Cell: 4.8500 4.8500 2.5755 Å, 90.00 90.00 90.09°
Closest atoms and distances in Å follow each position.
Element x y z (fractional)
K1 0.0000 0.0000 0.0000  2 K 2.58, 8 Ni 2.75
Ni1 0.0000 0.5000 0.5000  2 Ni 2.58, 4 Mo 2.75, 4 K 2.75
Ni2 0.5000 0.0000 0.5000  2 Ni 2.58, 4 Mo 2.75, 4 K 2.75
Mo1 0.5000 0.5000 0.0000  2 Mo 2.58, 8 Ni 2.75

---

no.,DFT formation energy (eV per atom)
1,0.817
2,0.771
3,1.186
4,2.409
5,1.349
6,0.910